No. 1
Density functional theory data (PBE) for LaCe3Pb4 after structural relaxation.

For the energy, the calculation gives -4.95 eV per atom. The mass density comes out at 9.235 g/cm³. The space-group type is Immm. The calculation puts the energy relative to the elements at -2.0 eV per formula unit.

Cell and atoms, written as extended XYZ:
```
8
Lattice="3.470 0.000 0.000 0.000 10.233 -1.281 -1.735 -4.253 7.560" Properties=species:S:1:pos:R:3 pbc="T T T"
La 1.735 0.000 0.000
Ce 0.000 5.117 -0.641
Ce 0.000 0.497 3.984
Ce 1.735 5.483 2.295
Pb 0.000 8.051 0.814
Pb 1.735 -2.070 5.465
Pb 1.735 3.350 4.788
Pb 0.000 2.630 1.491
```

No. 2
Density functional theory data (PBE) for LaCe2Pb3 after structural relaxation.

For the energy, the calculation gives -5.00 eV per atom. The mass density comes out at 8.390 g/cm³. The space-group type is Immm. Its energy above the most stable polymorph in this dataset is 10.2 kJ/mol of atoms. The calculation puts the energy relative to the elements at -2.1 eV per formula unit.

Cell and atoms, written as extended XYZ:
```
6
Lattice="-1.267 -4.149 1.522 -0.910 -1.970 -6.127 7.644 0.950 2.007" Properties=species:S:1:pos:R:3 pbc="T T T"
La -0.455 -0.985 -3.063
Ce 1.511 -2.765 0.665
Ce 3.956 -2.405 -3.262
Pb 4.253 -1.369 -0.192
Pb 0.000 0.000 0.000
Pb 1.214 -3.801 -2.406
```

No. 3
Density functional theory data (PBE) for La5CePb3 after structural relaxation.

For the energy, the calculation gives -5.09 eV per atom. The mass density comes out at 8.172 g/cm³. The space-group type is P6_3/mcm. The calculation puts the energy relative to the elements at -4.1 eV per formula unit.

Cell and atoms, written as extended XYZ:
```
18
Lattice="6.902 0.000 0.000 0.000 9.951 0.000 0.000 -4.975 8.617" Properties=species:S:1:pos:R:3 pbc="T T T"
La 0.000 4.975 2.872
La 3.451 0.000 5.745
La 0.000 0.000 5.745
La 3.451 4.975 2.872
La 5.176 3.336 5.778
La 5.176 8.312 2.839
La 5.176 3.278 0.000
La 1.725 1.639 2.839
La 1.725 -3.336 5.778
La 1.725 6.672 0.000
Ce 0.000 0.000 0.000
Ce 3.451 0.000 0.000
Pb 5.176 1.665 2.884
Pb 5.176 -3.310 5.733
Pb 5.176 6.620 0.000
Pb 1.725 3.310 5.733
Pb 1.725 8.286 2.884
Pb 1.725 3.330 0.000
```